DFT (PBE) results for a relaxed Sb2MoRh crystal.

Output
Energy relative to the elements, uncorrected: 2.2 eV/f.u.
Calculated total energy: -6.06 eV per atom
Crystal system: tetragonal
Spin magnetization: 0.23 μB per atom

abc: 7.2104 7.2104 7.2104
angles: 129.61 129.61 74.03
Closest atoms and distances in Å follow each position.
Atoms (fractional coordinates):
Sb 0.1131 0.6250 0.9881  2 Rh 2.56, 2 Mo 2.65
Sb 0.3750 0.3631 0.4881  2 Rh 2.56, 2 Mo 2.65
Sb 0.6369 0.1250 0.0119  2 Rh 2.56, 2 Mo 2.65
Sb 0.8750 0.8869 0.5119  2 Rh 2.56, 2 Mo 2.65
Mo 0.2500 0.7500 0.5000  4 Sb 2.65
Mo 0.5000 0.5000 0.0000  4 Sb 2.65
Rh 0.0000 0.0000 0.0000  4 Sb 2.56
Rh 0.7500 0.2500 0.5000  4 Sb 2.56